A relaxed TmWO4 crystal, computed with PBE with a Hubbard U.

Summary:
* E: -48.08 eV for the cell shown
* total magnetization: 1.0 μB/cell
* calculated density: 8.734 g/cm3
* volume: 79 Å³/f.u.

Lattice parameters (Å, degrees): 4.8951 4.8951 3.3086 90.00 90.00 91.80
Atoms (fractional coordinates):
1 Tm 0.0000 0.0000 0.0000
2 W 0.5000 0.5000 0.5000
3 O 0.2156 0.2156 0.5000
4 O 0.3196 0.6804 0.0000
5 O 0.6804 0.3196 0.0000
6 O 0.7844 0.7844 0.5000